Density functional theory data (GGA-PBE) for a relaxed structure of LaNdCo10.

Cell and atoms, written as POSCAR:
```
LaNdCo10
1.0
3.9534 0.0000 0.0000
0.0000 5.0060 0.0000
0.0000 0.0000 8.7347
La Nd Co
1 1 10
Direct
0.0000 0.0000 0.0000
0.0000 0.5000 0.5000
0.0000 0.0000 0.3267
0.0000 0.5000 0.8329
0.0000 0.5000 0.1671
0.0000 0.0000 0.6733
0.5000 0.0000 0.5000
0.5000 0.5000 0.0000
0.5000 0.2548 0.2549
0.5000 0.7451 0.7451
0.5000 0.7451 0.2549
0.5000 0.2548 0.7451
```

Output
Calculated volume ... 172.87 Å³ per cell
Space group ... Pmmm (47)
Uncorrected energy ... -6.76 eV/atom
Size of the total moment ... 13.82 μB/cell
ΔH_f (0 K) ... -0.0269 eV/atom